# 1
Compound: MnCd2SeO
Source: Alexandria via LeMat-Bulk
Functional: PBE+U
Structure: relaxed

```
data_MnCd2SeO
_chemical_formula_sum 'Mn1 Cd2 Se1 O1'
_cell_length_a 5.3862
_cell_length_b 5.3862
_cell_length_c 4.8541
_cell_angle_alpha 90.00
_cell_angle_beta 90.00
_cell_angle_gamma 90.00
_space_group_name_H-M_alt 'P 4/m m m'
_space_group_IT_number 123
_space_group_name_Hall '-P 4 2'
loop_
_atom_site_label
_atom_site_fract_x
_atom_site_fract_y
_atom_site_fract_z
Mn1 0.0000 0.0000 0.0000
Cd1 0.0000 0.5000 0.5000
Se1 0.0000 0.0000 0.5000
O1 0.5000 0.5000 0.0000
```

# 2
Compound: MnCd2SeO6
Source: Alexandria via LeMat-Bulk
Functional: PBE+U
Structure: relaxed

```
data_MnCd2SeO6
_chemical_formula_sum 'Mn1 Cd2 Se1 O6'
_cell_length_a 5.4428
_cell_length_b 5.4428
_cell_length_c 4.3733
_cell_angle_alpha 90.00
_cell_angle_beta 90.00
_cell_angle_gamma 90.00
_space_group_name_H-M_alt 'P 4 m m'
_space_group_IT_number 99
loop_
_space_group_symop_operation_xyz
'x,y,z'
'-y,x,z'
'-x,-y,z'
'y,-x,z'
'-x,y,z'
'y,x,z'
'x,-y,z'
'-y,-x,z'
loop_
_atom_site_label
_atom_site_fract_x
_atom_site_fract_y
_atom_site_fract_z
Mn1 0.0000 0.0000 0.0000
Cd1 0.0000 0.5000 0.4022
Se1 0.5000 0.5000 0.0016
O1 0.0000 0.0000 0.5669
O2 0.2486 0.2486 0.0843
O3 0.5000 0.5000 0.6102
```

# 3
Compound: MnCdSeO4
Source: Alexandria via LeMat-Bulk
Functional: PBE+U
Structure: relaxed

```
data_MnCdSeO4
_chemical_formula_sum 'Mn4 Cd4 Se4 O16'
_cell_length_a 5.8773
_cell_length_b 7.8471
_cell_length_c 9.1689
_cell_angle_alpha 90.00
_cell_angle_beta 90.00
_cell_angle_gamma 90.00
_space_group_name_H-M_alt 'I m m a'
_space_group_IT_number 74
_space_group_name_Hall '-I 2b 2'
loop_
_atom_site_label
_atom_site_fract_x
_atom_site_fract_y
_atom_site_fract_z
Mn1 0.2500 0.2500 0.2500
Cd1 0.0000 0.0000 0.0000
Se1 0.0000 0.2500 0.6300
O1 0.0000 0.0854 0.2257
O2 0.2348 0.2500 0.5153
```

# 4
Compound: MnCdSiO4
Source: Alexandria via LeMat-Bulk
Functional: PBE+U
Structure: relaxed

```
data_MnCdSiO4
_chemical_formula_sum 'Mn4 Cd4 Si4 O16'
_cell_length_a 5.7190
_cell_length_b 8.9956
_cell_length_c 6.6598
_cell_angle_alpha 90.00
_cell_angle_beta 90.00
_cell_angle_gamma 90.00
_space_group_name_H-M_alt 'C m c m'
_space_group_IT_number 63
_space_group_name_Hall '-C 2c 2'
loop_
_atom_site_label
_atom_site_fract_x
_atom_site_fract_y
_atom_site_fract_z
Mn1 0.0000 0.0000 0.0000
Cd1 0.0000 0.3225 0.2500
Si1 0.0000 0.3470 0.7500
O1 0.0000 0.2361 0.5546
O2 0.2328 0.4593 0.7500
```

# 5
Compound: Sm2MnCdO6
Source: Alexandria via LeMat-Bulk
Functional: PBE+U
Structure: relaxed

```
data_Sm2MnCdO6
_chemical_formula_sum 'Sm4 Mn2 Cd2 O12'
_cell_length_a 5.4928
_cell_length_b 5.8693
_cell_length_c 9.6328
_cell_angle_alpha 90.00
_cell_angle_beta 124.32
_cell_angle_gamma 90.00
_space_group_name_H-M_alt 'P 1 21/c 1'
_space_group_IT_number 14
loop_
_space_group_symop_operation_xyz
'x,y,z'
'-x,-y,-z'
'-x,y+1/2,-z+1/2'
'x,-y+1/2,z+1/2'
loop_
_atom_site_label
_atom_site_fract_x
_atom_site_fract_y
_atom_site_fract_z
Sm1 0.2252 0.0670 0.2464
Mn1 0.5000 0.0000 0.0000
Cd1 0.0000 0.0000 0.5000
O1 0.1582 0.1740 0.9462
O2 0.2597 0.7205 0.9272
O3 0.3960 0.0544 0.7732
```

# 6
Compound: Mn2CdSnO6
Source: Alexandria via LeMat-Bulk
Functional: PBE+U
Structure: relaxed

```
data_Mn2CdSnO6
_chemical_formula_sum 'Mn6 Cd3 Sn3 O18'
_cell_length_a 5.3407
_cell_length_b 5.3407
_cell_length_c 14.6325
_cell_angle_alpha 90.00
_cell_angle_beta 90.00
_cell_angle_gamma 120.00
_space_group_name_H-M_alt 'R 3'
_space_group_IT_number 146
_space_group_name_Hall 'R 3'
loop_
_atom_site_label
_atom_site_fract_x
_atom_site_fract_y
_atom_site_fract_z
Mn1 0.0000 0.0000 0.0000
Mn2 0.0000 0.0000 0.4868
Cd1 0.0000 0.0000 0.2143
Sn1 0.0000 0.0000 0.6929
O1 0.0057 0.3028 0.0837
O2 0.0073 0.6057 0.2625
```

# 7
Compound: MnCd2SnO4
Source: Alexandria via LeMat-Bulk
Functional: PBE+U
Structure: relaxed

```
data_MnCd2SnO4
_chemical_formula_sum 'Mn4 Cd8 Sn4 O16'
_cell_length_a 7.1334
_cell_length_b 7.4658
_cell_length_c 10.0216
_cell_angle_alpha 90.00
_cell_angle_beta 90.00
_cell_angle_gamma 90.00
_space_group_name_H-M_alt 'F m m 2'
_space_group_IT_number 42
_space_group_name_Hall 'F 2 -2'
loop_
_atom_site_label
_atom_site_fract_x
_atom_site_fract_y
_atom_site_fract_z
Mn1 0.0000 0.0000 0.0000
Cd1 0.2500 0.2500 0.2530
Sn1 0.0000 0.0000 0.5125
O1 0.0000 0.2301 0.1172
O2 0.2500 0.0000 0.3834
```

# 8
Compound: Mn2CdSnO4
Source: Alexandria via LeMat-Bulk
Functional: PBE+U
Structure: relaxed

```
data_Mn2CdSnO4
_chemical_formula_sum 'Mn4 Cd2 Sn2 O8'
_cell_length_a 5.0412
_cell_length_b 5.0412
_cell_length_c 10.1447
_cell_angle_alpha 90.00
_cell_angle_beta 90.00
_cell_angle_gamma 90.00
_space_group_name_H-M_alt 'I -4 2 m'
_space_group_IT_number 121
_space_group_name_Hall 'I -4 2'
loop_
_atom_site_label
_atom_site_fract_x
_atom_site_fract_y
_atom_site_fract_z
Mn1 0.0000 0.5000 0.2500
Cd1 0.0000 0.0000 0.0000
Sn1 0.0000 0.0000 0.5000
O1 0.2477 0.2477 0.1378
```

# 9
Compound: Sr2MnCdO5
Source: Alexandria via LeMat-Bulk
Functional: PBE+U
Structure: relaxed

```
data_Sr2MnCdO5
_chemical_formula_sum 'Sr8 Mn4 Cd4 O20'
_cell_length_a 3.5861
_cell_length_b 13.6320
_cell_length_c 10.5335
_cell_angle_alpha 90.00
_cell_angle_beta 90.00
_cell_angle_gamma 90.00
_space_group_name_H-M_alt 'C m c 21'
_space_group_IT_number 36
loop_
_space_group_symop_operation_xyz
'x,y,z'
'-x,-y,z+1/2'
'-x,y,z'
'x,-y,z+1/2'
'x+1/2,y+1/2,z'
'-x+1/2,-y+1/2,z+1/2'
'-x+1/2,y+1/2,z'
'x+1/2,-y+1/2,z+1/2'
loop_
_atom_site_label
_atom_site_fract_x
_atom_site_fract_y
_atom_site_fract_z
Sr1 0.0000 0.1037 0.0000
Sr2 0.0000 0.1550 0.6334
Mn1 0.0000 0.4781 0.7569
Cd1 0.0000 0.2066 0.3414
O1 0.0000 0.0309 0.3075
O2 0.0000 0.2821 0.9812
O3 0.0000 0.3403 0.7004
O4 0.0000 0.3846 0.3171
O5 0.0000 0.4824 0.0921
```

# 10
Compound: Sr2MnCdO4
Source: Alexandria via LeMat-Bulk
Functional: PBE+U
Structure: relaxed

```
data_Sr2MnCdO4
_chemical_formula_sum 'Sr2 Mn1 Cd1 O4'
_cell_length_a 5.9115
_cell_length_b 3.5216
_cell_length_c 6.0688
_cell_angle_alpha 90.00
_cell_angle_beta 109.75
_cell_angle_gamma 90.00
_space_group_name_H-M_alt 'P 1 2/m 1'
_space_group_IT_number 10
loop_
_space_group_symop_operation_xyz
'x,y,z'
'-x,-y,-z'
'-x,y,-z'
'x,-y,z'
loop_
_atom_site_label
_atom_site_fract_x
_atom_site_fract_y
_atom_site_fract_z
Sr1 0.0000 0.0000 0.0000
Sr2 0.0000 0.5000 0.5000
Mn1 0.5000 0.0000 0.5000
Cd1 0.5000 0.5000 0.0000
O1 0.2695 0.0000 0.7459
O2 0.2707 0.5000 0.2634
```

# 11
Compound: Sr4MnCd3O8
Source: Alexandria via LeMat-Bulk
Functional: PBE+U
Structure: relaxed

```
data_Sr4MnCd3O8
_chemical_formula_sum 'Sr12 Mn3 Cd9 O24'
_cell_length_a 7.0840
_cell_length_b 7.0840
_cell_length_c 16.7448
_cell_angle_alpha 90.00
_cell_angle_beta 90.00
_cell_angle_gamma 120.00
_space_group_name_H-M_alt 'R -3 m'
_space_group_IT_number 166
_space_group_name_Hall '-R 3 2"'
loop_
_atom_site_label
_atom_site_fract_x
_atom_site_fract_y
_atom_site_fract_z
Sr1 0.0000 0.0000 0.0000
Sr2 0.0000 0.5000 0.0000
Mn1 0.0000 0.0000 0.5000
Cd1 0.0000 0.5000 0.5000
O1 0.0000 0.0000 0.2453
O2 0.0082 0.5041 0.2444
```

# 12
Compound: Sr3MnCd2O6
Source: Alexandria via LeMat-Bulk
Functional: PBE+U
Structure: relaxed

```
data_Sr3MnCd2O6
_chemical_formula_sum 'Sr6 Mn2 Cd4 O12'
_cell_length_a 6.1002
_cell_length_b 10.6182
_cell_length_c 5.9249
_cell_angle_alpha 90.00
_cell_angle_beta 109.78
_cell_angle_gamma 90.00
_space_group_name_H-M_alt 'C 1 2/m 1'
_space_group_IT_number 12
loop_
_space_group_symop_operation_xyz
'x,y,z'
'-x,-y,-z'
'-x,y,-z'
'x,-y,z'
'x+1/2,y+1/2,z'
'-x+1/2,-y+1/2,-z'
'-x+1/2,y+1/2,-z'
'x+1/2,-y+1/2,z'
loop_
_atom_site_label
_atom_site_fract_x
_atom_site_fract_y
_atom_site_fract_z
Sr1 0.0000 0.0000 0.0000
Sr2 0.0000 0.3325 0.0000
Mn1 0.0000 0.5000 0.5000
Cd1 0.0000 0.1666 0.5000
O1 0.2403 0.3385 0.7328
O2 0.2432 0.5000 0.2681
```

# 13
Compound: TaMn2CdO6
Source: Alexandria via LeMat-Bulk
Functional: PBE+U
Structure: relaxed

```
data_TaMn2CdO6
_chemical_formula_sum 'Ta1 Mn2 Cd1 O6'
_cell_length_a 5.2915
_cell_length_b 5.3013
_cell_length_c 5.8092
_cell_angle_alpha 63.09
_cell_angle_beta 63.14
_cell_angle_gamma 60.15
_space_group_name_H-M_alt 'P 1'
_space_group_IT_number 1
loop_
_space_group_symop_operation_xyz
'x,y,z'
loop_
_atom_site_label
_atom_site_fract_x
_atom_site_fract_y
_atom_site_fract_z
Ta1 0.0000 0.0000 0.0000
Mn1 0.2079 0.2049 0.3833
Mn2 0.6924 0.6902 0.9309
Cd1 0.4821 0.4796 0.5612
O1 0.0445 0.4066 0.7290
O2 0.2887 0.9073 0.1792
O3 0.4069 0.8250 0.7277
O4 0.6277 0.2859 0.1790
O5 0.8274 0.0422 0.7250
O6 0.9080 0.6260 0.1814
```

# 14
Compound: TaMnCd2O6
Source: Alexandria via LeMat-Bulk
Functional: PBE+U
Structure: relaxed

```
data_TaMnCd2O6
_chemical_formula_sum 'Ta2 Mn2 Cd4 O12'
_cell_length_a 9.7382
_cell_length_b 5.5457
_cell_length_c 5.3468
_cell_angle_alpha 90.00
_cell_angle_beta 122.39
_cell_angle_gamma 90.00
_space_group_name_H-M_alt 'C 1 2/m 1'
_space_group_IT_number 12
loop_
_space_group_symop_operation_xyz
'x,y,z'
'-x,-y,-z'
'-x,y,-z'
'x,-y,z'
'x+1/2,y+1/2,z'
'-x+1/2,-y+1/2,-z'
'-x+1/2,y+1/2,-z'
'x+1/2,-y+1/2,z'
loop_
_atom_site_label
_atom_site_fract_x
_atom_site_fract_y
_atom_site_fract_z
Ta1 0.0000 0.0000 0.0000
Mn1 0.0000 0.5000 0.5000
Cd1 0.2491 0.5000 0.2752
O1 0.0632 0.2544 0.3160
O2 0.2287 0.0000 0.1079
```

# 15
Compound: TaMnCdO6
Source: Alexandria via LeMat-Bulk
Functional: PBE+U
Structure: relaxed

```
data_TaMnCdO6
_chemical_formula_sum 'Ta2 Mn2 Cd2 O12'
_cell_length_a 4.8255
_cell_length_b 4.8255
_cell_length_c 9.3714
_cell_angle_alpha 90.00
_cell_angle_beta 90.00
_cell_angle_gamma 90.00
_space_group_name_H-M_alt 'P 42 n m'
_space_group_IT_number 102
loop_
_space_group_symop_operation_xyz
'x,y,z'
'-y+1/2,x+1/2,z+1/2'
'-x,-y,z'
'y+1/2,-x+1/2,z+1/2'
'-x+1/2,y+1/2,z+1/2'
'y,x,z'
'x+1/2,-y+1/2,z+1/2'
'-y,-x,z'
loop_
_atom_site_label
_atom_site_fract_x
_atom_site_fract_y
_atom_site_fract_z
Ta1 0.0000 0.0000 0.0000
Mn1 0.0000 0.0000 0.6676
Cd1 0.0000 0.0000 0.3329
O1 0.1745 0.1745 0.8284
O2 0.2078 0.2078 0.5253
O3 0.2202 0.2202 0.1403
```

# 16
Compound: MnCdTcO6
Source: Alexandria via LeMat-Bulk
Functional: PBE+U
Structure: relaxed

```
data_MnCdTcO6
_chemical_formula_sum 'Mn2 Cd2 Tc2 O12'
_cell_length_a 4.8719
_cell_length_b 4.8719
_cell_length_c 9.3305
_cell_angle_alpha 90.00
_cell_angle_beta 90.00
_cell_angle_gamma 90.00
_space_group_name_H-M_alt 'P 42 n m'
_space_group_IT_number 102
loop_
_space_group_symop_operation_xyz
'x,y,z'
'-y+1/2,x+1/2,z+1/2'
'-x,-y,z'
'y+1/2,-x+1/2,z+1/2'
'-x+1/2,y+1/2,z+1/2'
'y,x,z'
'x+1/2,-y+1/2,z+1/2'
'-y,-x,z'
loop_
_atom_site_label
_atom_site_fract_x
_atom_site_fract_y
_atom_site_fract_z
Mn1 0.0000 0.0000 0.0000
Cd1 0.0000 0.0000 0.6690
Tc1 0.0000 0.0000 0.3348
O1 0.1737 0.1737 0.1647
O2 0.2014 0.2014 0.4608
O3 0.2201 0.2201 0.8463
```

# 17
Compound: MnCd2TcO6
Source: Alexandria via LeMat-Bulk
Functional: PBE+U
Structure: relaxed

```
data_MnCd2TcO6
_chemical_formula_sum 'Mn1 Cd2 Tc1 O6'
_cell_length_a 5.3262
_cell_length_b 5.3262
_cell_length_c 4.9690
_cell_angle_alpha 90.00
_cell_angle_beta 90.00
_cell_angle_gamma 90.00
_space_group_name_H-M_alt 'P 4 m m'
_space_group_IT_number 99
loop_
_space_group_symop_operation_xyz
'x,y,z'
'-y,x,z'
'-x,-y,z'
'y,-x,z'
'-x,y,z'
'y,x,z'
'x,-y,z'
'-y,-x,z'
loop_
_atom_site_label
_atom_site_fract_x
_atom_site_fract_y
_atom_site_fract_z
Mn1 0.0000 0.0000 0.0000
Cd1 0.0000 0.5000 0.4361
Tc1 0.5000 0.5000 0.0158
O1 0.0000 0.0000 0.5956
O2 0.2643 0.2643 0.1468
O3 0.5000 0.5000 0.6611
```

# 18
# Mn2CdTeO6 PBE+U relaxed
# excess energy over the best structure of this formula in the dataset	0.106	eV/atom
data_Mn2CdTeO6
_chemical_formula_sum 'Mn6 Cd3 Te3 O18'
_cell_length_a 5.4985
_cell_length_b 5.4985
_cell_length_c 14.2799
_cell_angle_alpha 90.00
_cell_angle_beta 90.00
_cell_angle_gamma 120.00
_space_group_name_H-M_alt 'R 3'
_space_group_IT_number 146
_space_group_name_Hall 'R 3'
loop_
_atom_site_label
_atom_site_fract_x
_atom_site_fract_y
_atom_site_fract_z
Mn1 0.0000 0.0000 0.0000
Mn2 0.0000 0.0000 0.4803
Cd1 0.0000 0.0000 0.2147
Te1 0.0000 0.0000 0.6916
O1 0.0225 0.4032 0.7463
O2 0.0268 0.6125 0.2617

# 19
# Mn2CdTeO6 PBE+U relaxed
# excess energy over the best structure of this formula in the dataset	0.000	eV/atom
data_Mn2CdTeO6
_chemical_formula_sum 'Mn4 Cd2 Te2 O12'
_cell_length_a 6.3826
_cell_length_b 6.4254
_cell_length_c 6.4292
_cell_angle_alpha 90.43
_cell_angle_beta 90.05
_cell_angle_gamma 90.88
_space_group_name_H-M_alt 'P 1'
_space_group_IT_number 1
loop_
_space_group_symop_operation_xyz
'x,y,z'
loop_
_atom_site_label
_atom_site_fract_x
_atom_site_fract_y
_atom_site_fract_z
Mn1 0.0000 0.0000 0.0000
Mn2 0.1851 0.5169 0.3048
Mn3 0.4959 0.1226 0.1055
Mn4 0.6961 0.8149 0.4901
Cd1 0.3089 0.6064 0.8032
Cd2 0.7970 0.3083 0.6187
Te1 0.2469 0.0565 0.5471
Te2 0.7476 0.5655 0.0599
O1 0.0418 0.6521 0.0208
O2 0.1785 0.3495 0.5971
O3 0.1830 0.1142 0.2549
O4 0.3124 0.0108 0.8419
O5 0.3212 0.7662 0.4858
O6 0.4572 0.4731 0.1104
O7 0.5397 0.1174 0.4710
O8 0.6733 0.6140 0.7682
O9 0.7002 0.8578 0.1341
O10 0.7969 0.2719 0.9869
O11 0.8322 0.5334 0.3505
O12 0.9571 0.9834 0.6255

# 20
Compound: MnCdTe2O
Source: Alexandria via LeMat-Bulk
Functional: PBE+U
Structure: relaxed

```
data_MnCdTe2O
_chemical_formula_sum 'Mn1 Cd1 Te2 O1'
_cell_length_a 5.5012
_cell_length_b 5.5012
_cell_length_c 5.3487
_cell_angle_alpha 90.00
_cell_angle_beta 90.00
_cell_angle_gamma 90.00
_space_group_name_H-M_alt 'P 4/m m m'
_space_group_IT_number 123
_space_group_name_Hall '-P 4 2'
loop_
_atom_site_label
_atom_site_fract_x
_atom_site_fract_y
_atom_site_fract_z
Mn1 0.0000 0.0000 0.0000
Cd1 0.0000 0.0000 0.5000
Te1 0.0000 0.5000 0.5000
O1 0.5000 0.5000 0.0000
```

| no. | E (eV/atom) | M_tot (μB per atom) |
| --- | --- | --- |
| 1 | -2.9232 | 1.027 |
| 2 | -5.0467 | 0.309 |
| 3 | -5.5449 | 0.716 |
| 4 | -6.8030 | 0.714 |
| 5 | -7.1211 | 0.297 |
| 6 | -6.4283 | 0.800 |
| 7 | -5.3043 | 0.624 |
| 8 | -6.2386 | 1.248 |
| 9 | -5.9721 | 0.329 |
| 10 | -5.9235 | 0.625 |
| 11 | -5.4612 | 0.312 |
| 12 | -5.6173 | 0.417 |
| 13 | -7.5740 | 0.700 |
| 14 | -6.8889 | 0.400 |
| 15 | -7.2080 | 0.444 |
| 16 | -6.5773 | 0.444 |
| 17 | -6.0494 | 0.550 |
| 18 | -6.1405 | 0.800 |
| 19 | -6.2470 | 1.000 |
| 20 | -2.8147 | 1.005 |